# 1
{
  "formula": "Tb6Nd3Tl",
  "functional": "PBE",
  "state": "optimized geometry",
  "lattice": [[3.540, 0.000, 0.000], [0.000, 12.421, -3.446], [0.000, 1.101, 14.419]],
  "species": ["Tb", "Tb", "Tb", "Tb", "Tb", "Tb", "Tb", "Tb", "Tb", "Tb", "Tb", "Tb", "Nd", "Nd", "Nd", "Nd", "Nd", "Nd", "Tl", "Tl"],
  "fractional_positions": [[0.750, 0.488, 0.691], [0.250, 0.512, 0.309], [0.750, 0.810, 0.078], [0.250, 0.190, 0.922], [0.750, 0.343, 0.117], [0.250, 0.657, 0.883], [0.750, 0.758, 0.312], [0.250, 0.242, 0.688], [0.750, 0.107, 0.458], [0.250, 0.893, 0.542], [0.750, 0.773, 0.716], [0.250, 0.227, 0.284], [0.750, 0.421, 0.902], [0.250, 0.579, 0.098], [0.750, 0.633, 0.505], [0.250, 0.367, 0.495], [0.750, 0.075, 0.102], [0.250, 0.925, 0.898], [0.750, 0.035, 0.727], [0.250, 0.965, 0.273]],
  "n_ef_per_ev_cell": 27.68,
  "de_polymorph_mev_per_atom": 0,
  "magmom_total_mub_per_fu": 0.000,
  "delta_e_f_kj_per_mol_fu": 16,
  "spacegroup": "P2_1/m"
}


# 2
{
  "formula": "TbNd3Tl",
  "functional": "PBE",
  "state": "optimized geometry",
  "lattice": [[-3.133, 4.461, 1.390], [-6.598, -0.632, -1.461], [-5.465, -2.847, 8.199]],
  "species": ["Tb", "Tb", "Nd", "Nd", "Nd", "Nd", "Nd", "Nd", "Tl", "Tl"],
  "fractional_positions": [[0.454, 0.740, 0.352], [0.546, 0.260, 0.648], [0.863, 0.670, 0.603], [0.137, 0.330, 0.397], [0.654, 0.724, 0.968], [0.346, 0.276, 0.032], [0.786, 0.146, 0.282], [0.214, 0.854, 0.718], [0.055, 0.767, 0.122], [0.945, 0.233, 0.878]],
  "n_ef_per_ev_cell": 12.60,
  "de_polymorph_mev_per_atom": 32,
  "magmom_total_mub_per_fu": 0.000,
  "delta_e_f_kj_per_mol_fu": -48,
  "spacegroup": "C2/m"
}


# 3
{
  "formula": "Tb2Nd12Tl5",
  "functional": "PBE",
  "state": "optimized geometry",
  "lattice": [[9.949, 0.000, 0.000], [-4.975, 6.955, 1.459], [0.000, -0.986, 8.782]],
  "species": ["Tb", "Tb", "Nd", "Nd", "Nd", "Nd", "Nd", "Nd", "Nd", "Nd", "Nd", "Nd", "Nd", "Nd", "Tl", "Tl", "Tl", "Tl", "Tl"],
  "fractional_positions": [[0.666, 0.000, 0.000], [0.334, 0.000, 0.000], [0.906, 0.812, 0.144], [0.031, 0.693, 0.799], [0.661, 0.693, 0.799], [0.178, 0.762, 0.363], [0.585, 0.762, 0.363], [0.413, 0.826, 0.675], [0.587, 0.174, 0.325], [0.822, 0.238, 0.637], [0.415, 0.238, 0.637], [0.969, 0.307, 0.201], [0.339, 0.307, 0.201], [0.094, 0.188, 0.856], [0.218, 0.436, 0.510], [0.307, 0.613, 0.015], [0.000, 0.000, 0.500], [0.693, 0.387, 0.985], [0.782, 0.564, 0.490]],
  "n_ef_per_ev_cell": 25.90,
  "magmom_total_mub_per_fu": 0.003,
  "delta_e_f_kj_per_mol_fu": -175,
  "spacegroup": "C2/m"
}